# K3Al2Au4 (GGA-PBE, optimized geometry)
# * DFT total energy: -2.977 eV/atom
# * E_form: -323 meV per atom
# * symmetry: No. 12
data_K3Al2Au4
_space_group_name_H-M_alt 'P 1'
_space_group_IT_number 1
_cell_length_a 6.645
_cell_length_b 6.645
_cell_length_c 9.369
_cell_angle_alpha 106.90
_cell_angle_beta 106.90
_cell_angle_gamma 39.25
loop_
_space_group_symop_operation_xyz
'x,y,z'
loop_
_atom_site_label
_atom_site_type_symbol
_atom_site_fract_x
_atom_site_fract_y
_atom_site_fract_z
K1 K 0.000 0.000 0.000
K2 K 0.375 0.375 0.622
K3 K 0.625 0.625 0.378
Al1 Al 0.322 0.322 0.213
Al2 Al 0.678 0.678 0.787
Au1 Au 0.088 0.088 0.636
Au2 Au 0.262 0.262 0.914
Au3 Au 0.738 0.738 0.086
Au4 Au 0.912 0.912 0.364